NiP2Pb (PBE, optimized geometry); final energy = -4.388 eV/atom; DFT formation energy = 0.6898 eV per atom; SG = P4/mmm; magnetization = 0.000 μB per atom
1.0
4.550 0.000 0.000
0.000 4.550 0.000
0.000 0.000 3.501
Ni P Pb
1 2 1
Direct
0.000 0.000 0.000
0.000 0.500 0.500
0.500 0.000 0.500
0.500 0.500 0.000

NiPPb2 (PBE, optimized geometry); final energy = -4.586 eV/atom; DFT formation energy = 0.0656 eV per atom; SG = P4mm; magnetization = 0.000 μB per atom
1.0
3.230 0.000 0.000
0.000 3.230 0.000
0.000 0.000 8.397
Ni P Pb
1 1 2
Direct
0.000 0.000 0.000
0.500 0.500 0.920
0.000 0.000 0.643
0.500 0.500 0.275

Ni6PPb (PBE, optimized geometry); final energy = -5.418 eV/atom; DFT formation energy = 0.0582 eV per atom; SG = R-3; magnetization = 0.000 μB per atom
1.0
2.960 1.709 3.435
-2.960 1.709 3.435
0.000 -3.418 3.435
Ni P Pb
6 1 1
Direct
0.033 0.543 0.722
0.278 0.967 0.457
0.457 0.278 0.967
0.543 0.722 0.033
0.722 0.033 0.543
0.967 0.457 0.278
0.500 0.500 0.500
0.000 0.000 0.000

Ni2PPb (PBE, optimized geometry); final energy = -5.221 eV/atom; DFT formation energy = -0.0509 eV per atom; SG = I-42d; magnetization = 0.000 μB per atom
1.0
4.507 0.000 0.000
0.000 4.507 0.000
0.000 0.000 14.332
Ni P Pb
8 4 4
Direct
0.111 0.250 0.125
0.250 0.611 0.375
0.250 0.889 0.875
0.389 0.250 0.625
0.611 0.750 0.625
0.750 0.111 0.875
0.750 0.389 0.375
0.889 0.750 0.125
0.000 0.000 0.000
0.000 0.500 0.250
0.500 0.000 0.750
0.500 0.500 0.500
0.000 0.000 0.500
0.000 0.500 0.750
0.500 0.000 0.250
0.500 0.500 0.000